# UMn2FeO8 | Alexandria | PBE with a Hubbard U | relaxed
# Calculated volume   138.5 Å³/cell
# N(E_F)   0.2647 states/eV per atom
# Electronic total energy   -7.757 eV/atom
data_UMn2FeO8
_chemical_formula_sum 'U1 Mn2 Fe1 O8'
_cell_length_a 4.757
_cell_length_b 6.058
_cell_length_c 4.806
_cell_angle_alpha 90.00
_cell_angle_beta 91.12
_cell_angle_gamma 90.00
_space_group_name_H-M_alt 'P 1 2/m 1'
_space_group_IT_number 10
loop_
_space_group_symop_operation_xyz
'x,y,z'
'-x,-y,-z'
'-x,y,-z'
'x,-y,z'
loop_
_atom_site_label
_atom_site_type_symbol
_atom_site_fract_x
_atom_site_fract_y
_atom_site_fract_z
_atom_site_occupancy
U1 U 0.000 0.000 0.000 1
Mn1 Mn 0.500 0.263 0.500 1
Fe1 Fe 0.000 0.500 0.000 1
O1 O 0.196 0.262 0.815 1
O2 O 0.299 0.500 0.318 1
O3 O 0.312 0.000 0.322 1